This record from Alexandria via LeMat-Bulk describes a relaxed structure of RbAlSb2O. The functional is PBE-GGA.

Output
Total magnetic moment (μB/f.u.): 3.8
Energy relative to the elements, uncorrected (eV per atom): 1.79
E_tot (eV per atom): -1.7971

```
RbAlSb2O
1.0
6.3720 0.0000 0.0000
0.0000 6.6800 0.0000
0.0000 0.0000 6.3720
O Sb Al Rb
1 2 1 1
Cartesian
3.1860 3.3400 3.1860
0.0000 0.0000 3.1860
3.1860 0.0000 0.0000
0.0000 3.3400 0.0000
0.0000 0.0000 0.0000
```